## TlCdSi2 (PBE-GGA)

Data for crystalline TlCdSi2 at its relaxed geometry.

Cell: 3.8175 4.7546 5.4945 Å, 90.00 92.26 90.00°
With the nearest neighbours (Å) after each atom.
Space group P2/m (No. 10)
Symmetry-distinct sites (fractional):
Tl: 0.0000 0.0000 0.0000 (multiplicity 1)  4 Si 3.25, 4 Cd 3.28-3.41
Cd: 0.5000 0.0000 0.5000 (multiplicity 1)  4 Si 2.70
Si: 0.2435 0.5000 0.6409 (multiplicity 2)  2 Si 2.37-2.54

Summary:
- Fermi-level density of states (states/eV per cell) = 1.5
- formation energy (no corrections) (eV per atom) = 0.429
- offset from the most stable computed form (eV per atom) = 0.2115
- spin magnetization (μB/atom) = 0.0000